Entry 1:
# HfNiBPd, relaxed, DFT PBE-GGA
data_HfNiBPd
_symmetry_space_group_name_H-M 'P 1'
_symmetry_Int_Tables_number 1
_cell_length_a 4.198
_cell_length_b 4.198
_cell_length_c 4.198
_cell_angle_alpha 60.00
_cell_angle_beta 60.00
_cell_angle_gamma 60.00
loop_
_symmetry_equiv_pos_as_xyz
'x,y,z'
loop_
_atom_site_label
_atom_site_type_symbol
_atom_site_fract_x
_atom_site_fract_y
_atom_site_fract_z
Pd1 Pd 0.750 0.750 0.750
Ni1 Ni 0.500 0.500 0.500
Hf1 Hf 0.250 0.250 0.250
B1 B 0.000 0.000 0.000
# E above lowest polymorph: 0 meV per atom
# space-group type: F-43m, No. 216
# V: 52.32 Å³ per cell
# density: 11.2 g/cm³
# size of the total moment: 0.001 μB/atom

***

Entry 2:
# Al2CdAg2, relaxed, DFT PBE-GGA
data_Al2CdAg2
_symmetry_space_group_name_H-M 'P 1'
_symmetry_Int_Tables_number 1
_cell_length_a 6.840
_cell_length_b 6.840
_cell_length_c 6.840
_cell_angle_alpha 146.56
_cell_angle_beta 146.56
_cell_angle_gamma 48.01
loop_
_symmetry_equiv_pos_as_xyz
'x,y,z'
loop_
_atom_site_label
_atom_site_type_symbol
_atom_site_fract_x
_atom_site_fract_y
_atom_site_fract_z
Cd1 Cd 0.000 0.000 0.000
Ag1 Ag 0.609 0.609 0.000
Ag2 Ag 0.391 0.391 0.000
Al1 Al 0.250 0.750 0.500
Al2 Al 0.750 0.250 0.500
# space-group type: I4/mmm, No. 139
# V: 96.75 Å³ per cell
# raw total energy: -2.73 eV/atom
# density: 6.6 g/cm³